PbC2I: relaxed, PBE.

abc: 5.1491 5.1491 7.2326
angles: 69.15 69.15 90.00
Last column: nearest neighbours and their distance in Å.
Fractional coordinates of all 8 atoms:
Pb (0.0000, 0.0000, 0.0000)  4 C 2.42
Pb (0.7500, 0.2500, 0.5000)  4 C 2.42
C (0.1340, 0.6250, 0.2500)  2 I 2.37, 2 Pb 2.42
C (0.8750, 0.8660, 0.7500)  2 I 2.37, 2 Pb 2.42
C (0.3750, 0.3840, 0.7500)  2 I 2.37, 2 Pb 2.42
C (0.6160, 0.1250, 0.2500)  2 I 2.37, 2 Pb 2.42
I (0.5000, 0.5000, 0.0000)  4 C 2.37
I (0.2500, 0.7500, 0.5000)  4 C 2.37

Results
relative energy among the computed polymorphs	0	meV per atom
M_tot	0.00	μB/f.u.
DFT total energy	-3.744	eV per atom
SG	I-42d (122)
formation energy from raw total energies	2.18	eV per atom

Y2TlIr: relaxed, PBE.

abc: 4.0308 4.0308 8.2621
angles: 75.88 75.88 60.00
Last column: nearest neighbours and their distance in Å.
Fractional coordinates of all 4 atoms:
Y (0.2696, 0.2696, 0.1913)  3 Ir 2.77
Y (0.0639, 0.0639, 0.8084)  3 Ir 2.79
Ir (0.6659, 0.6659, 0.0023)  6 Y 2.77-2.79
Tl (0.5007, 0.5007, 0.4980)  6 Y 3.37-3.39

Results
relative energy among the computed polymorphs	106	meV per atom
M_tot	0.00	μB/f.u.
formation enthalpy at 0 K	-0.50	eV per atom
DFT total energy	-6.538	eV per atom
SG	R3m (160)

Mg5BiPb2: relaxed, PBE.

abc: 5.3127 6.8944 6.8944
angles: 90.00 90.00 90.00
Last column: nearest neighbours and their distance in Å.
Fractional coordinates of all 8 atoms:
Pb (0.5000, 0.5000, 0.0000)  10 Mg 3.45-3.63
Pb (0.5000, 0.0000, 0.5000)  10 Mg 3.45-3.63
Bi (0.0000, 0.0000, 0.0000)  6 Mg 2.66-2.82
Mg (0.0000, 0.2896, 0.2896)  1 Bi 2.82, 2 Mg 2.90
Mg (0.0000, 0.2896, 0.7104)  1 Bi 2.82, 2 Mg 2.90
Mg (0.0000, 0.7104, 0.7104)  1 Bi 2.82, 2 Mg 2.90
Mg (0.5000, 0.0000, 0.0000)  2 Bi 2.66
Mg (0.0000, 0.7104, 0.2896)  1 Bi 2.82, 2 Mg 2.90

Results
relative energy among the computed polymorphs	301	meV per atom
M_tot	0.00	μB/f.u.
formation enthalpy at 0 K	0.27	eV per atom
DFT total energy	-2.142	eV per atom
SG	P4/mmm (123)

AcTlCuHg: relaxed, PBE.

abc: 5.2993 5.2993 5.2993
angles: 60.00 60.00 60.00
Last column: nearest neighbours and their distance in Å.
Fractional coordinates of all 4 atoms:
Ac (0.0000, 0.0000, 0.0000)  4 Hg 3.25, 4 Cu 3.25
Tl (0.5000, 0.5000, 0.5000)  4 Hg 3.25, 4 Cu 3.25
Cu (0.2500, 0.2500, 0.2500)  4 Ac 3.25, 4 Tl 3.25
Hg (0.7500, 0.7500, 0.7500)  4 Tl 3.25, 4 Ac 3.25

Results
M_tot	0.00	μB/f.u.
formation enthalpy at 0 K	-0.19	eV per atom
DFT total energy	-2.912	eV per atom
SG	F-43m (216)

ZnGeAsIrAu: relaxed, PBE.

abc: 3.0611 4.5609 7.0112
angles: 79.75 77.58 70.46
Last column: nearest neighbours and their distance in Å.
Fractional coordinates of all 5 atoms:
Ge (0.3096, 0.8048, 0.8502)  2 Ir 2.56, 3 Au 2.68-2.75
Zn (0.0346, 0.7270, 0.4843)  1 As 2.64, 3 Au 2.65-2.83, 2 Ir 2.75-2.76
Au (0.6628, 0.2830, 0.6694)  3 Zn 2.65-2.83, 3 Ge 2.68-2.75
As (0.8972, 0.2484, 0.2385)  3 Ir 2.50, 1 Zn 2.64
Ir (0.6509, 0.8287, 0.1483)  3 As 2.50, 2 Ge 2.56, 2 Zn 2.75-2.76

Results
relative energy among the computed polymorphs	65	meV per atom
M_tot	0.00	μB/f.u.
formation enthalpy at 0 K	-0.05	eV per atom
DFT total energy	-4.586	eV per atom
SG	P1 (1)

SmBi2IrO8: relaxed, PBE.

abc: 5.1371 5.1892 6.8414
angles: 90.00 90.00 89.02
Last column: nearest neighbours and their distance in Å.
Fractional coordinates of all 12 atoms:
O (0.8379, 0.2020, 0.2167)  1 Ir 1.99
O (0.7158, 0.7774, 0.0000)  1 Ir 1.88
O (0.1622, 0.7981, 0.2167)  1 Ir 1.99
O (0.8378, 0.2019, 0.7833)  1 Ir 1.99
O (0.6673, 0.6996, 0.5000)  2 Bi 2.21, 1 Sm 2.33
O (0.3327, 0.3004, 0.5000)  2 Bi 2.21, 1 Sm 2.33
O (0.2842, 0.2226, 0.0000)  1 Ir 1.88
O (0.1621, 0.7980, 0.7833)  1 Ir 1.99
Ir (0.0000, 0.0000, 0.0000)  6 O 1.88-1.99
Bi (0.5000, 0.5000, 0.2453)  4 O 2.21-2.31
Bi (0.5000, 0.5000, 0.7547)  4 O 2.21-2.31
Sm (0.0000, 0.0000, 0.5000)  6 O 2.33-2.35

Results
M_tot	0.70	μB/f.u.
DFT total energy	-6.474	eV per atom
SG	P2/m (10)
formation energy from raw total energies	-1.39	eV per atom